# LuAl2V PBE relaxed
# Calculated volume (Å³/atom): 18.4
# Symmetry: R-3m
# Formation energy (eV/f.u.): 0.3
# D(E_F) (states/eV/atom): 1.0569
# VASP energy (eV per formula unit): -20.82
# ΔE to the lowest computed polymorph (eV/atom): 0.246
data_LuAl2V
_chemical_formula_sum 'Lu3 Al6 V3'
_cell_length_a 2.986
_cell_length_b 2.986
_cell_length_c 28.589
_cell_angle_alpha 90.00
_cell_angle_beta 90.00
_cell_angle_gamma 120.00
_symmetry_space_group_name_H-M 'P 1'
_symmetry_Int_Tables_number 1
loop_
_symmetry_equiv_pos_as_xyz
'x,y,z'
loop_
_atom_site_label
_atom_site_type_symbol
_atom_site_fract_x
_atom_site_fract_y
_atom_site_fract_z
Lu1 Lu 0.000 0.000 0.000
Lu2 Lu 0.333 0.667 0.667
Lu3 Lu 0.667 0.333 0.333
Al1 Al 0.000 0.000 0.240
Al2 Al 0.000 0.000 0.760
Al3 Al 0.333 0.667 0.426
Al4 Al 0.333 0.667 0.907
Al5 Al 0.667 0.333 0.093
Al6 Al 0.667 0.333 0.574
V1 V 0.000 0.000 0.500
V2 V 0.333 0.667 0.167
V3 V 0.667 0.333 0.833